Entry 1:
Below is crystalline LiHgP2 at its relaxed geometry, with properties calculated at the GGA-PBE level.

For the calculated formation energy, the calculation gives 0.167 eV per atom. Its total magnetization is 0.00 μB per formula unit.

The structure belongs to space group P4/mmm (No. 123); the cell edges are 2.683, 2.683 and 10.339 Å and the angles 90.00°, 90.00° and 90.00°. Symmetry generates all atoms from Li at (0.000, 0.000, 0.000), Hg at (0.000, 0.000, 0.500) and P at (0.500, 0.500, 0.188).

***

Entry 2:
Below is crystalline Li3HgP at its relaxed geometry, with properties calculated at the GGA-PBE level.

For the calculated formation energy, the calculation gives 0.194 eV per atom. The energy relative to the lowest polymorph listed for this composition is 646 meV/atom. Its total magnetization is 0.00 μB per formula unit.

The structure belongs to space group Pm-3m (No. 221); the cell edges are 4.774, 4.774 and 4.774 Å and the angles 90.00°, 90.00° and 90.00°. Symmetry generates all atoms from Li at (0.000, 0.000, 0.500), Hg at (0.000, 0.000, 0.000) and P at (0.500, 0.500, 0.500).

***

Entry 3:
Below is crystalline LiHgP2 at its relaxed geometry, with properties calculated at the GGA-PBE level.

For the calculated formation energy, the calculation gives 0.210 eV per atom. Its total magnetization is 0.00 μB per formula unit.

The structure belongs to space group I-42d (No. 122); the cell edges are 7.539, 7.539 and 5.182 Å and the angles 90.00°, 90.00° and 90.00°. Symmetry generates all atoms from Li at (0.000, 0.000, 0.000), Hg at (0.000, 0.000, 0.500) and P at (0.226, 0.250, 0.625).

***

Entry 4:
Below is crystalline LiHg2P at its relaxed geometry, with properties calculated at the GGA-PBE level.

For the calculated formation energy, the calculation gives -0.097 eV per atom. Its total magnetization is 0.00 μB per formula unit.

The structure belongs to space group Cm (No. 8); the cell edges are 7.540, 4.347 and 6.883 Å and the angles 90.00°, 111.11° and 90.00°. Symmetry generates all atoms from Li at (0.000, 0.000, 0.000), Hg at (0.095, 0.500, 0.780), Hg at (0.451, 0.000, 0.355) and P at (0.320, 0.000, 0.961).

***

Entry 5:
Below is crystalline LiHgP2 at its relaxed geometry, with properties calculated at the GGA-PBE level.

For the calculated formation energy, the calculation gives 0.213 eV per atom. Its total magnetization is 0.00 μB per formula unit.

The structure belongs to space group C2/m (No. 12); the cell edges are 5.233, 7.181 and 3.768 Å and the angles 90.00°, 98.00° and 90.00°. Symmetry generates all atoms from Li at (0.000, 0.000, 0.000), Hg at (0.000, 0.500, 0.000) and P at (0.250, 0.250, 0.500).

***

Entry 6:
Below is crystalline LiHgP2 at its relaxed geometry, with properties calculated at the GGA-PBE level.

For the calculated formation energy, the calculation gives 0.230 eV per atom. Its total magnetization is 0.00 μB per formula unit.

The structure belongs to space group I-4m2 (No. 119); the cell edges are 4.023, 4.023 and 8.545 Å and the angles 90.00°, 90.00° and 90.00°. Symmetry generates all atoms from Li at (0.000, 0.000, 0.000), Hg at (0.000, 0.500, 0.250), P at (0.000, 0.000, 0.500) and P at (0.000, 0.500, 0.750).

***

Quick rundown of DFT total energy, same order as above: -3.0922; -2.0962; -3.0491; -2.0786; -3.0459; -3.0286 eV per atom